Record 1
Compound: Rb2CrGeBr6
Source: the Alexandria database
Functional: PBE
Structure: optimized geometry

Calculated values
E_tot: -3.683 eV per atom
symmetry: P4/mmm, No. 123
calculated volume: 32.279 A^3/atom

abc: 5.4636 5.4636 10.8134
angles: 90.00 90.00 90.00
Closest atoms and distances in Å follow each position.
Element x y z (fractional)
1 Rb 0.0000 0.0000 0.2381  12 Br 3.75-3.93
2 Rb 0.0000 0.0000 0.7619  12 Br 3.75-3.93
3 Cr 0.5000 0.5000 0.0000  6 Br 2.59-2.73
4 Ge 0.5000 0.5000 0.5000  6 Br 2.73-2.82
5 Br 0.0000 0.5000 0.0000  2 Cr 2.73
6 Br 0.0000 0.5000 0.5000  2 Ge 2.73
7 Br 0.5000 0.0000 0.0000  2 Cr 2.73
8 Br 0.5000 0.0000 0.5000  2 Ge 2.73
9 Br 0.5000 0.5000 0.2396  1 Cr 2.59, 1 Ge 2.82
10 Br 0.5000 0.5000 0.7604  1 Cr 2.59, 1 Ge 2.82

---

Record 2
Compound: Rb2CrGeBr6
Source: the Alexandria database
Functional: PBE
Structure: optimized geometry

Calculated values
E_tot: -3.677 eV per atom
symmetry: Fm-3m, No. 225
calculated volume: 32.118 A^3/atom

abc: 7.6870 7.6870 7.6870
angles: 60.00 60.00 60.00
Closest atoms and distances in Å follow each position.
Element x y z (fractional)
1 Rb 0.2500 0.2500 0.2500  12 Br 3.84
2 Rb 0.7500 0.7500 0.7500  12 Br 3.84
3 Cr 0.0000 0.0000 0.0000  6 Br 2.64
4 Ge 0.5000 0.5000 0.5000  6 Br 2.79
5 Br 0.2430 0.2430 0.7570  1 Cr 2.64, 1 Ge 2.79
6 Br 0.2430 0.7570 0.2430  1 Cr 2.64, 1 Ge 2.79
7 Br 0.2430 0.7570 0.7570  1 Cr 2.64, 1 Ge 2.79
8 Br 0.7570 0.2430 0.2430  1 Cr 2.64, 1 Ge 2.79
9 Br 0.7570 0.2430 0.7570  1 Cr 2.64, 1 Ge 2.79
10 Br 0.7570 0.7570 0.2430  1 Cr 2.64, 1 Ge 2.79

---

Record 3
Compound: CrGe2SBr
Source: the Alexandria database
Functional: PBE
Structure: optimized geometry

Calculated values
E_tot: -4.980 eV per atom
symmetry: P4/mmm, No. 123
calculated volume: 20.120 A^3/atom

abc: 4.8581 4.8581 4.2626
angles: 90.00 90.00 90.00
Closest atoms and distances in Å follow each position.
Element x y z (fractional)
1 Cr 0.0000 0.0000 0.0000  2 S 2.13
2 Ge 0.0000 0.5000 0.0000  2 Cr 2.43
3 Ge 0.5000 0.0000 0.0000  2 Cr 2.43
4 S 0.0000 0.0000 0.5000  2 Cr 2.13
5 Br 0.5000 0.5000 0.5000  8 Ge 3.23, 4 S 3.44

---

Record 4
Compound: CrTc2GeBr
Source: the Alexandria database
Functional: PBE
Structure: optimized geometry

Calculated values
E_tot: -5.727 eV per atom
symmetry: P4/mmm, No. 123
calculated volume: 20.209 A^3/atom

abc: 4.6941 4.6941 4.5857
angles: 90.00 90.00 90.00
Closest atoms and distances in Å follow each position.
Element x y z (fractional)
1 Cr 0.0000 0.0000 0.0000  2 Ge 2.29
2 Tc 0.0000 0.5000 0.5000  2 Ge 2.35
3 Tc 0.5000 0.0000 0.5000  2 Ge 2.35
4 Ge 0.0000 0.0000 0.5000  2 Cr 2.29, 4 Tc 2.35
5 Br 0.5000 0.5000 0.0000  8 Tc 3.28, 4 Cr 3.32

---

Record 5
Compound: TlCrGe2Br8
Source: the Alexandria database
Functional: PBE
Structure: optimized geometry

Calculated values
E_tot: -3.528 eV per atom
symmetry: P-1, No. 2
calculated volume: 32.044 A^3/atom

abc: 7.1038 7.1352 8.7408
angles: 90.05 90.06 119.78
Closest atoms and distances in Å follow each position.
Element x y z (fractional)
1 Tl 0.0000 0.0000 0.0000  6 Br 3.54-3.55
2 Cr 0.0000 0.0000 0.5000  6 Br 2.52-2.53
3 Ge 0.3328 0.6671 0.6654  1 Br 2.43
4 Ge 0.6672 0.3329 0.3346  1 Br 2.43
5 Br 0.0537 0.7429 0.3315  1 Cr 2.52
6 Br 0.2558 0.3088 0.3307  1 Cr 2.53
7 Br 0.3123 0.0545 0.6684  1 Cr 2.52
8 Br 0.3323 0.6674 0.9439  1 Ge 2.43
9 Br 0.6677 0.3326 0.0561  1 Ge 2.43
10 Br 0.6877 0.9455 0.3316  1 Cr 2.52
11 Br 0.7442 0.6912 0.6693  1 Cr 2.53
12 Br 0.9463 0.2571 0.6685  1 Cr 2.52

---

Record 6
Compound: TlCr2GeBr
Source: the Alexandria database
Functional: PBE
Structure: optimized geometry

Calculated values
E_tot: -4.971 eV per atom
symmetry: P4/mmm, No. 123
calculated volume: 27.722 A^3/atom

abc: 4.8702 4.8702 5.8437
angles: 90.00 90.00 90.00
Closest atoms and distances in Å follow each position.
Element x y z (fractional)
1 Tl 0.0000 0.0000 0.0000  4 Br 3.44, 8 Cr 3.80
2 Cr 0.0000 0.5000 0.5000  2 Ge 2.44
3 Cr 0.5000 0.0000 0.5000  2 Ge 2.44
4 Ge 0.5000 0.5000 0.5000  4 Cr 2.44
5 Br 0.5000 0.5000 0.0000  2 Ge 2.92

---

Question: What is the formula in the second record?
Answer: Rb2CrGeBr6

---

Question: What is the calculated volume in the fifth record?
Answer: 32.044 A^3/atom